Computed, not measured: a geometry-optimized LiZrFeBi structure at the PBE-GGA level of DFT.

Cell lengths 4.5264, 4.5264, 4.5264 Å; angles 60.00, 60.00, 60.00 degrees
Closest atoms and distances in Å follow each position.
Sites, in units of the cell vectors:
Li (0.0000, 0.0000, 0.0000)  4 Zr 2.77, 4 Bi 2.77
Zr (0.7500, 0.7500, 0.7500)  4 Fe 2.77, 4 Li 2.77
Fe (0.5000, 0.5000, 0.5000)  4 Zr 2.77, 4 Bi 2.77
Bi (0.2500, 0.2500, 0.2500)  4 Fe 2.77, 4 Li 2.77

Summary:
- E_tot: -23.45 eV/cell
- Crystal system: cubic